{
  "formula": "HgSb2Pt",
  "functional": "GGA-PBE",
  "state": "relaxed",
  "dos_ef_per_ev_fu": 1.87,
  "raw_formation_energy_ev_per_atom": -0.221,
  "lattice_angstrom": [[2.0963, 1.2103, 7.1591], [-2.0963, 1.2103, 7.1591], [0.0000, -2.4206, 7.1591]],
  "species": ["Hg", "Sb", "Sb", "Pt"],
  "frac_coords": [[0.0000, 0.0000, 0.0000], [0.2197, 0.2197, 0.2197], [0.4389, 0.4389, 0.4389], [0.8296, 0.8296, 0.8296]]
}

***

{
  "formula": "Si2TeSe",
  "functional": "GGA-PBE",
  "state": "relaxed",
  "dos_ef_per_ev_fu": 1.29,
  "raw_formation_energy_ev_per_atom": 0.283,
  "polymorph_energy_mev_per_atom": 349,
  "lattice_angstrom": [[2.8752, -3.8151, 0.0000], [2.8752, 3.8151, 0.0000], [0.0000, 0.0000, 3.9760]],
  "species": ["Si", "Si", "Te", "Se"],
  "frac_coords": [[0.2400, 0.7600, 0.0000], [0.7600, 0.2400, 0.0000], [0.5000, 0.5000, 0.5000], [0.0000, 0.0000, 0.5000]]
}

***

{
  "formula": "PaOsClO6",
  "functional": "GGA-PBE",
  "state": "relaxed",
  "dos_ef_per_ev_fu": 1.49,
  "raw_formation_energy_ev_per_atom": -1.669,
  "lattice_angstrom": [[-3.5693, 4.0284, 5.7800], [3.5693, -4.0284, 5.7800], [3.5693, 4.0284, -5.7800]],
  "species": ["Pa", "Pa", "Os", "Os", "Cl", "Cl", "O", "O", "O", "O", "O", "O", "O", "O", "O", "O", "O", "O"],
  "frac_coords": [[0.0000, 0.0000, 0.0000], [0.5000, 0.0000, 0.5000], [0.5000, 0.0000, 0.0000], [0.5000, 0.5000, 0.5000], [0.2218, 0.4718, 0.7500], [0.7782, 0.5282, 0.2500], [0.1988, 0.9488, 0.2500], [0.2301, 0.3294, 0.2732], [0.2301, 0.9569, 0.9007], [0.4407, 0.6907, 0.7500], [0.4439, 0.0431, 0.7732], [0.4439, 0.6706, 0.4007], [0.5561, 0.3294, 0.5993], [0.5561, 0.9569, 0.2268], [0.5593, 0.3093, 0.2500], [0.7699, 0.0431, 0.0993], [0.7699, 0.6706, 0.7268], [0.8012, 0.0512, 0.7500]]
}